[1]
The following is a DFT calculation (PBE) of a relaxed structure of BeHgBr2.

Calculated values
The mass density comes out at 6.44 g cm⁻³. As for the formation energy from raw total energies: 2.52 eV per formula unit. The total moment is 0.000 μB per atom.

a b c (Å): 7.250 7.250 7.250
angles (deg): 90.00 90.00 90.00
Space group F-43m (No. 216)
One atom of each set of equivalent atoms:
Be 0.000 0.000 0.000 [4 per cell]
Hg 0.250 0.250 0.750 [4 per cell]
Br 0.000 0.000 0.500 [4 per cell]
Br 0.250 0.250 0.250 [4 per cell]

---

[2]
The following is a DFT calculation (PBE) of a relaxed structure of BeHgBr3.

Calculated values
The mass density comes out at 4.41 g cm⁻³. As for the formation energy from raw total energies: 2.29 eV per formula unit. The total moment is 0.188 μB per atom.

a b c (Å): 5.529 5.529 5.529
angles (deg): 90.00 90.00 90.00
Space group Pm-3m (No. 221)
One atom of each set of equivalent atoms:
Be 0.000 0.000 0.000 [1 per cell]
Hg 0.500 0.500 0.500 [1 per cell]
Br 0.000 0.500 0.500 [3 per cell]